1.
# CsLaV3 | Alexandria | PBE | optimized geometry
data_CsLaV3
_chemical_formula_sum 'Cs1 La1 V3'
_symmetry_space_group_name_H-M 'P m -3 m'
_symmetry_Int_Tables_number 221
_symmetry_space_group_name_Hall '-P 4 2 3'
_cell_length_a 5.2923
_cell_length_b 5.2923
_cell_length_c 5.2923
_cell_angle_alpha 90.00
_cell_angle_beta 90.00
_cell_angle_gamma 90.00
loop_
_atom_site_label
_atom_site_fract_x
_atom_site_fract_y
_atom_site_fract_z
Cs1 0.0000 0.0000 0.0000
La1 0.5000 0.5000 0.5000
V1 0.0000 0.5000 0.5000
# Distance to the lowest polymorph of the same formula in kJ per mole of atoms: 0.0



2.
# CsLa3V | Alexandria | PBE | optimized geometry
data_CsLa3V
_chemical_formula_sum 'Cs1 La3 V1'
_symmetry_space_group_name_H-M 'P m -3 m'
_symmetry_Int_Tables_number 221
_symmetry_space_group_name_Hall '-P 4 2 3'
_cell_length_a 5.7467
_cell_length_b 5.7467
_cell_length_c 5.7467
_cell_angle_alpha 90.00
_cell_angle_beta 90.00
_cell_angle_gamma 90.00
loop_
_atom_site_label
_atom_site_fract_x
_atom_site_fract_y
_atom_site_fract_z
Cs1 0.0000 0.0000 0.0000
La1 0.0000 0.5000 0.5000
V1 0.5000 0.5000 0.5000
# Total DFT energy (no corrections) in eV per atom: -4.3993



3.
# CsLaV3 | Alexandria | PBE | optimized geometry
data_CsLaV3
_chemical_formula_sum 'Cs1 La1 V3'
_symmetry_space_group_name_H-M 'P m -3 m'
_symmetry_Int_Tables_number 221
_symmetry_space_group_name_Hall '-P 4 2 3'
_cell_length_a 5.0058
_cell_length_b 5.0058
_cell_length_c 5.0058
_cell_angle_alpha 90.00
_cell_angle_beta 90.00
_cell_angle_gamma 90.00
loop_
_atom_site_label
_atom_site_fract_x
_atom_site_fract_y
_atom_site_fract_z
Cs1 0.0000 0.0000 0.0000
La1 0.5000 0.5000 0.5000
V1 0.0000 0.0000 0.5000
# Distance to the lowest polymorph of the same formula in kJ per mole of atoms: 5.9



What is the formula in the second record?
CsLa3V



Repeat the second record exactly.
# CsLa3V | Alexandria | PBE | optimized geometry
data_CsLa3V
_chemical_formula_sum 'Cs1 La3 V1'
_symmetry_space_group_name_H-M 'P m -3 m'
_symmetry_Int_Tables_number 221
_symmetry_space_group_name_Hall '-P 4 2 3'
_cell_length_a 5.7467
_cell_length_b 5.7467
_cell_length_c 5.7467
_cell_angle_alpha 90.00
_cell_angle_beta 90.00
_cell_angle_gamma 90.00
loop_
_atom_site_label
_atom_site_fract_x
_atom_site_fract_y
_atom_site_fract_z
Cs1 0.0000 0.0000 0.0000
La1 0.0000 0.5000 0.5000
V1 0.5000 0.5000 0.5000
# Total DFT energy (no corrections) in eV per atom: -4.3993